DFT (GGA-PBE) results for an optimized crystal structure of Y2ZrBr.

Cell: 10.0544 10.0544 10.0544 Å, 20.46 20.46 20.46°
Last column: nearest neighbours and their distance in Å.
Atoms (fractional coordinates):
Y 0.2462 0.2462 0.2462  3 Br 3.13, 3 Zr 3.30
Y 0.7538 0.7538 0.7538  3 Br 3.13, 3 Zr 3.30
Zr 0.0000 0.0000 0.0000  6 Y 3.30, 6 Zr 3.57
Br 0.5000 0.5000 0.5000  6 Y 3.13

Values from the calculation:
Relative energy among the computed polymorphs (meV per atom): 0
Uncorrected energy (eV per atom): -6.26
Fermi-level density of states (states/eV/cell): 3.6
Theoretical density (Mg/m³): 5.3
Space group: R-3m
Formation energy (no corrections) (meV per atom): -473